Entry 1:
PBE HgMoBr2, relaxed; raw formation energy = 0.577 eV per atom; Fermi-level density of states = 1.60 states/eV/cell; SG = No. 12
1.0
5.471 0.121 0.035
-3.450 5.378 0.086
1.328 1.607 3.905
Mo Br Hg
1 2 1
direct
0.500 0.000 0.500
0.000 0.500 0.500
0.000 0.000 0.000
0.500 0.500 0.000

***

Entry 2:
PBE Tb5Sm12Mg2, relaxed; Fermi-level density of states = 28.71 states/eV/cell; SG = No. 12; DFT formation energy = 93 meV/atom
1.0
9.211 0.000 0.000
-4.605 7.797 1.068
0.000 -1.516 8.411
Tb Sm Mg
5 12 2
direct
0.000 0.000 0.500
0.232 0.464 0.572
0.704 0.407 0.025
0.768 0.536 0.428
0.296 0.593 0.975
0.332 0.296 0.237
0.178 0.745 0.320
0.558 0.117 0.339
0.668 0.704 0.763
0.442 0.883 0.661
0.964 0.296 0.237
0.921 0.842 0.119
0.822 0.255 0.680
0.079 0.158 0.881
0.036 0.704 0.763
0.433 0.255 0.680
0.567 0.745 0.320
0.665 0.000 0.000
0.335 0.000 0.000

***

Entry 3:
PBE GaFe2RePd, relaxed; Fermi-level density of states = 8.41 states/eV/cell; SG = No. 123; DFT formation energy = 1314 meV/atom
1.0
-3.483 -0.817 -2.701
0.157 -4.774 1.243
-2.818 0.791 3.395
Re Fe Pd Ga
1 2 1 1
direct
0.000 0.000 0.000
0.000 0.000 0.500
0.500 0.000 0.000
0.000 0.500 0.000
0.500 0.500 0.500

***

Entry 4:
PBE Zr2NbTe2, relaxed; raw formation energy = -0.064 eV per atom; Fermi-level density of states = 11.79 states/eV/cell; SG = No. 127
1.0
8.024 0.000 0.000
0.000 8.024 0.000
0.000 0.000 3.581
Zr Te Nb
4 4 2
direct
0.647 0.147 0.000
0.147 0.353 0.000
0.353 0.853 0.000
0.853 0.647 0.000
0.347 0.153 0.500
0.847 0.347 0.500
0.653 0.847 0.500
0.153 0.653 0.500
0.500 0.500 0.000
0.000 0.000 0.000

***

Entry 5:
PBE TaNiOs2, relaxed; Fermi-level density of states = 4.27 states/eV/cell; SG = No. 166; DFT formation energy = 170 meV/atom
1.0
-4.317 6.941 -3.992
-6.222 6.286 -2.128
-4.157 7.960 -1.449
Os Ta Ni
2 1 1
direct
0.494 0.494 0.494
0.006 0.006 0.006
0.250 0.250 0.250
0.750 0.750 0.750

***

Entry 6:
PBE TaTc2Mo, relaxed; Fermi-level density of states = 5.23 states/eV/cell; SG = No. 35; DFT formation energy = 36 meV/atom
1.0
-1.186 -2.408 0.633
2.420 0.226 1.303
-4.058 3.806 6.880
Tc Ta Mo
2 1 1
direct
0.500 0.500 0.249
0.000 0.000 0.005
0.500 0.500 0.754
0.000 0.000 0.493